Entry 1:
A plane-wave DFT calculation with PBE-GGA was carried out for a relaxed Na2CrOsC crystal.

Cell and atoms, written as extended XYZ:
```
5
Lattice="5.6244 0.0000 0.0000 0.0000 5.6244 0.0000 0.0000 0.0000 3.5917" Properties=species:S:1:pos:R:3 pbc="T T T"
Na 0.0000 2.8122 0.0000
Na 2.8122 0.0000 0.0000
Cr 0.0000 0.0000 0.0000
Os 2.8122 2.8122 1.7959
C 0.0000 0.0000 1.7959
```

Properties
Uncorrected energy: -4.61 eV per atom

Entry 2:
A plane-wave DFT calculation with PBE-GGA was carried out for a relaxed Na2CrPdC crystal.

Cell and atoms, written as extended XYZ:
```
5
Lattice="5.3341 0.0000 0.0000 0.0000 5.3341 0.0000 0.0000 0.0000 4.8614" Properties=species:S:1:pos:R:3 pbc="T T T"
Na 0.0000 2.6671 0.0000
Na 2.6671 0.0000 0.0000
Cr 0.0000 0.0000 2.4307
Pd 0.0000 0.0000 0.0000
C 2.6671 2.6671 2.4307
```

Properties
Uncorrected energy: -3.60 eV per atom

Entry 3:
A plane-wave DFT calculation with PBE-GGA was carried out for a relaxed Nb2CrC crystal.

Cell and atoms, written as extended XYZ:
```
16
Lattice="7.7342 0.0000 0.0000 0.0000 7.7342 0.0000 0.0000 0.0000 3.9474" Properties=species:S:1:pos:R:3 pbc="T T T"
Nb 0.8839 5.8006 0.4934
Nb 1.9335 0.8839 3.4540
Nb 1.9335 2.9832 1.4803
Nb 2.9832 5.8006 2.4671
Nb 4.7510 1.9335 2.4671
Nb 5.8006 4.7510 1.4803
Nb 5.8006 6.8503 3.4540
Nb 6.8503 1.9335 0.4934
Cr 0.0000 0.0000 1.9737
Cr 0.0000 3.8671 2.9606
Cr 3.8671 0.0000 0.9869
Cr 3.8671 3.8671 0.0000
C 0.0000 0.0000 0.0000
C 0.0000 3.8671 0.9869
C 3.8671 0.0000 2.9606
C 3.8671 3.8671 1.9737
```

Properties
Uncorrected energy: -9.57 eV per atom

no.,formation energy from the elements (eV/atom),DOS(E_F) (states/eV per atom),calculated density (Mg/m³)
1,1.9304,1.12,4.39
2,1.7337,0.50,2.60
3,0.1719,0.74,7.03